Below is crystalline NbV2H at its relaxed geometry, with properties calculated at the PBE-GGA level.

The magnetization is 0.000 μB per atom. The value obtained for the offset from the most stable computed form is 108 meV/atom.

It has space group Fd-3m (No. 227, origin choice 2), with a = 7.420 Å, b = 7.420 Å, c = 7.420 Å, α = 90.00°, β = 90.00° and γ = 90.00°. The distinct sites, in fractional coordinates, are Nb at (0.125, 0.125, 0.125), V at (0.000, 0.000, 0.500) and H at (0.125, 0.125, 0.625).